Record 1
First-principles (PBE) data for a relaxed structure of GaAuC, as listed in Alexandria via LeMat-Bulk.

## Properties
crystal system	hexagonal
space group	P6_3/mmc
energy of formation	283	kJ/mol of formula units
raw total energy	-4.20	eV per atom
theoretical density	10.11	g cm⁻³

Cell and atoms, written as CIF:
```
data_GaAuC
_chemical_formula_sum 'Ga2 Au2 C2'
_space_group_name_H-M_alt 'P 1'
_space_group_IT_number 1
_cell_length_a 3.3860
_cell_length_b 3.3860
_cell_length_c 9.2245
_cell_angle_alpha 90.00
_cell_angle_beta 90.00
_cell_angle_gamma 120.00
loop_
_space_group_symop_operation_xyz
'x,y,z'
loop_
_atom_site_label
_atom_site_fract_x
_atom_site_fract_y
_atom_site_fract_z
C1 0.6667 0.3333 0.2500
C2 0.3333 0.6667 0.7500
Ga1 0.3333 0.6667 0.2500
Ga2 0.6667 0.3333 0.7500
Au1 0.0000 0.0000 0.0000
Au2 0.0000 0.0000 0.5000
```

***

Record 2
First-principles (PBE) data for a relaxed structure of GaAuC, as listed in Alexandria via LeMat-Bulk.

## Properties
crystal system	triclinic
space group	P-1
energy of formation	129	kJ/mol of formula units
raw total energy	-4.73	eV per atom
theoretical density	9.46	g cm⁻³

Cell and atoms, written as CIF:
```
data_GaAuC
_chemical_formula_sum 'Ga2 Au2 C2'
_space_group_name_H-M_alt 'P 1'
_space_group_IT_number 1
_cell_length_a 3.2568
_cell_length_b 4.8119
_cell_length_c 6.8810
_cell_angle_alpha 94.10
_cell_angle_beta 76.39
_cell_angle_gamma 110.98
loop_
_space_group_symop_operation_xyz
'x,y,z'
loop_
_atom_site_label
_atom_site_fract_x
_atom_site_fract_y
_atom_site_fract_z
Au1 0.9568 0.6038 0.2276
Au2 0.5876 0.0607 0.4624
C1 0.2657 0.9044 0.9326
C2 0.2789 0.7602 0.7573
Ga1 0.7974 0.0891 0.0695
Ga2 0.7471 0.5754 0.6205
```

***

Record 3
First-principles (PBE) data for a relaxed structure of GaAuC2, as listed in Alexandria via LeMat-Bulk.

## Properties
crystal system	tetragonal
space group	I-42d
energy of formation	552	kJ/mol of formula units
raw total energy	-4.76	eV per atom
theoretical density	8.73	g cm⁻³

Cell and atoms, written as CIF:
```
data_GaAuC2
_chemical_formula_sum 'Ga2 Au2 C4'
_space_group_name_H-M_alt 'P 1'
_space_group_IT_number 1
_cell_length_a 4.8613
_cell_length_b 4.8613
_cell_length_c 5.8065
_cell_angle_alpha 65.25
_cell_angle_beta 65.25
_cell_angle_gamma 90.00
loop_
_space_group_symop_operation_xyz
'x,y,z'
loop_
_atom_site_label
_atom_site_fract_x
_atom_site_fract_y
_atom_site_fract_z
Au1 0.7500 0.2500 0.5000
Au2 0.0000 0.0000 0.0000
C1 0.6124 0.1250 0.2500
C2 0.3750 0.3876 0.7500
C3 0.8750 0.8624 0.7500
C4 0.1376 0.6250 0.2500
Ga1 0.2500 0.7500 0.5000
Ga2 0.5000 0.5000 0.0000
```

***

Record 4
First-principles (PBE) data for a relaxed structure of GaAuC, as listed in Alexandria via LeMat-Bulk.

## Properties
crystal system	orthorhombic
space group	Cmc2_1
energy of formation	161	kJ/mol of formula units
raw total energy	-4.62	eV per atom
theoretical density	9.78	g cm⁻³

Cell and atoms, written as CIF:
```
data_GaAuC
_chemical_formula_sum 'Ga2 Au2 C2'
_space_group_name_H-M_alt 'P 1'
_space_group_IT_number 1
_cell_length_a 3.4675
_cell_length_b 5.2962
_cell_length_c 5.4518
_cell_angle_alpha 90.00
_cell_angle_beta 90.00
_cell_angle_gamma 70.92
loop_
_space_group_symop_operation_xyz
'x,y,z'
loop_
_atom_site_label
_atom_site_fract_x
_atom_site_fract_y
_atom_site_fract_z
Au1 0.2571 0.6863 0.4814
Au2 0.2662 0.6681 0.9814
Ga1 0.5294 0.1420 0.0762
Ga2 0.9939 0.2125 0.5762
C1 0.4371 0.3263 0.7274
C2 0.0862 0.0282 0.2274
```

***

Record 5
First-principles (PBE) data for a relaxed structure of GaAuC, as listed in Alexandria via LeMat-Bulk.

## Properties
crystal system	triclinic
space group	P-1
energy of formation	134	kJ/mol of formula units
raw total energy	-4.71	eV per atom
theoretical density	8.22	g cm⁻³

Cell and atoms, written as CIF:
```
data_GaAuC
_chemical_formula_sum 'Ga2 Au2 C2'
_space_group_name_H-M_alt 'P 1'
_space_group_IT_number 1
_cell_length_a 5.2221
_cell_length_b 4.6100
_cell_length_c 6.4165
_cell_angle_alpha 116.60
_cell_angle_beta 110.86
_cell_angle_gamma 55.41
loop_
_space_group_symop_operation_xyz
'x,y,z'
loop_
_atom_site_label
_atom_site_fract_x
_atom_site_fract_y
_atom_site_fract_z
C1 0.1099 0.5604 0.3418
C2 0.3557 0.5612 0.3556
Ga1 0.3816 0.6971 0.7761
Ga2 0.0841 0.4228 0.9215
Au1 0.7328 0.5607 0.3487
Au2 0.7328 0.0599 0.8487
```

***

Record 6
First-principles (PBE) data for a relaxed structure of GaAuC, as listed in Alexandria via LeMat-Bulk.

## Properties
crystal system	monoclinic
space group	Pc
energy of formation	172	kJ/mol of formula units
raw total energy	-4.58	eV per atom
theoretical density	10.28	g cm⁻³

Cell and atoms, written as CIF:
```
data_GaAuC
_chemical_formula_sum 'Ga2 Au2 C2'
_space_group_name_H-M_alt 'P 1'
_space_group_IT_number 1
_cell_length_a 3.4740
_cell_length_b 5.0705
_cell_length_c 5.1589
_cell_angle_alpha 90.00
_cell_angle_beta 82.41
_cell_angle_gamma 90.00
loop_
_space_group_symop_operation_xyz
'x,y,z'
loop_
_atom_site_label
_atom_site_fract_x
_atom_site_fract_y
_atom_site_fract_z
Au1 0.5033 0.6927 0.4919
Au2 0.0033 0.6618 0.9919
Ga1 0.2864 0.1383 0.0637
Ga2 0.7864 0.2163 0.5637
C1 0.7420 0.0095 0.2293
C2 0.2420 0.3450 0.7293
```

***

Record 7
First-principles (PBE) data for a relaxed structure of MgGa2AuC, as listed in Alexandria via LeMat-Bulk.

## Properties
crystal system	tetragonal
space group	P4/mmm
energy of formation	140	kJ/mol of formula units
raw total energy	-3.74	eV per atom
theoretical density	7.68	g cm⁻³

Cell and atoms, written as CIF:
```
data_MgGa2AuC
_chemical_formula_sum 'Mg1 Ga2 Au1 C1'
_space_group_name_H-M_alt 'P 1'
_space_group_IT_number 1
_cell_length_a 4.3474
_cell_length_b 4.2659
_cell_length_c 4.3474
_cell_angle_alpha 90.00
_cell_angle_beta 90.00
_cell_angle_gamma 90.00
loop_
_space_group_symop_operation_xyz
'x,y,z'
loop_
_atom_site_label
_atom_site_fract_x
_atom_site_fract_y
_atom_site_fract_z
C1 0.0000 0.0000 0.0000
Ga1 0.0000 0.0000 0.5000
Ga2 0.5000 0.0000 0.0000
Mg1 0.0000 0.5000 0.0000
Au1 0.5000 0.5000 0.5000
```

***

Record 8
First-principles (PBE) data for a relaxed structure of Ga2OsAuC, as listed in Alexandria via LeMat-Bulk.

## Properties
crystal system	tetragonal
space group	P4/mmm
energy of formation	859	kJ/mol of formula units
raw total energy	-4.18	eV per atom
theoretical density	7.68	g cm⁻³

Cell and atoms, written as CIF:
```
data_Ga2OsAuC
_chemical_formula_sum 'Ga2 Os1 Au1 C1'
_space_group_name_H-M_alt 'P 1'
_space_group_IT_number 1
_cell_length_a 4.7938
_cell_length_b 5.0662
_cell_length_c 4.7938
_cell_angle_alpha 90.00
_cell_angle_beta 90.00
_cell_angle_gamma 90.00
loop_
_space_group_symop_operation_xyz
'x,y,z'
loop_
_atom_site_label
_atom_site_fract_x
_atom_site_fract_y
_atom_site_fract_z
Au1 0.0000 0.5000 0.0000
C1 0.5000 0.5000 0.5000
Os1 0.0000 0.0000 0.0000
Ga1 0.0000 0.0000 0.5000
Ga2 0.5000 0.0000 0.0000
```

***

Record 9
First-principles (PBE) data for a relaxed structure of Ga2PbAuC, as listed in Alexandria via LeMat-Bulk.

## Properties
crystal system	tetragonal
space group	P4/mmm
energy of formation	340	kJ/mol of formula units
raw total energy	-3.75	eV per atom
theoretical density	9.79	g cm⁻³

Cell and atoms, written as CIF:
```
data_Ga2PbAuC
_chemical_formula_sum 'Ga2 Pb1 Au1 C1'
_space_group_name_H-M_alt 'P 1'
_space_group_IT_number 1
_cell_length_a 4.4929
_cell_length_b 4.4929
_cell_length_c 4.6670
_cell_angle_alpha 90.00
_cell_angle_beta 90.00
_cell_angle_gamma 90.00
loop_
_space_group_symop_operation_xyz
'x,y,z'
loop_
_atom_site_label
_atom_site_fract_x
_atom_site_fract_y
_atom_site_fract_z
Ga1 0.5000 0.0000 0.0000
Ga2 0.0000 0.5000 0.0000
Pb1 0.5000 0.5000 0.5000
Au1 0.0000 0.0000 0.5000
C1 0.0000 0.0000 0.0000
```

***

Record 10
First-principles (PBE) data for a relaxed structure of GaPtAuC2, as listed in Alexandria via LeMat-Bulk.

## Properties
crystal system	tetragonal
space group	P4/mmm
energy of formation	999	kJ/mol of formula units
raw total energy	-4.09	eV per atom
theoretical density	8.07	g cm⁻³

Cell and atoms, written as CIF:
```
data_GaPtAuC2
_chemical_formula_sum 'Ga1 Pt1 Au1 C2'
_space_group_name_H-M_alt 'P 1'
_space_group_IT_number 1
_cell_length_a 3.8397
_cell_length_b 6.7777
_cell_length_c 3.8397
_cell_angle_alpha 90.00
_cell_angle_beta 90.00
_cell_angle_gamma 90.00
loop_
_space_group_symop_operation_xyz
'x,y,z'
loop_
_atom_site_label
_atom_site_fract_x
_atom_site_fract_y
_atom_site_fract_z
Au1 0.0000 0.0000 0.0000
Pt1 0.5000 0.5000 0.5000
C1 0.0000 0.0000 0.5000
C2 0.5000 0.0000 0.0000
Ga1 0.0000 0.5000 0.0000
```

***

Record 11
First-principles (PBE) data for a relaxed structure of GaRhAuC2, as listed in Alexandria via LeMat-Bulk.

## Properties
crystal system	tetragonal
space group	P4/mmm
energy of formation	1063	kJ/mol of formula units
raw total energy	-4.22	eV per atom
theoretical density	7.55	g cm⁻³

Cell and atoms, written as CIF:
```
data_GaRhAuC2
_chemical_formula_sum 'Ga1 Rh1 Au1 C2'
_space_group_name_H-M_alt 'P 1'
_space_group_IT_number 1
_cell_length_a 3.9009
_cell_length_b 5.6903
_cell_length_c 3.9009
_cell_angle_alpha 90.00
_cell_angle_beta 90.00
_cell_angle_gamma 90.00
loop_
_space_group_symop_operation_xyz
'x,y,z'
loop_
_atom_site_label
_atom_site_fract_x
_atom_site_fract_y
_atom_site_fract_z
Au1 0.0000 0.0000 0.0000
Ga1 0.0000 0.5000 0.0000
C1 0.0000 0.0000 0.5000
C2 0.5000 0.0000 0.0000
Rh1 0.5000 0.5000 0.5000
```

***

Record 12
First-principles (PBE) data for a relaxed structure of GaAuCS2, as listed in Alexandria via LeMat-Bulk.

## Properties
crystal system	tetragonal
space group	P4/mmm
ΔE_f (raw)	1805	meV/atom
raw total energy	-2.95	eV per atom
theoretical density	4.66	g cm⁻³

Cell and atoms, written as CIF:
```
data_GaAuCS2
_chemical_formula_sum 'Ga1 Au1 C1 S2'
_space_group_name_H-M_alt 'P 1'
_space_group_IT_number 1
_cell_length_a 4.8772
_cell_length_b 5.1375
_cell_length_c 4.8772
_cell_angle_alpha 90.00
_cell_angle_beta 90.00
_cell_angle_gamma 90.00
loop_
_space_group_symop_operation_xyz
'x,y,z'
loop_
_atom_site_label
_atom_site_fract_x
_atom_site_fract_y
_atom_site_fract_z
Ga1 0.0000 0.5000 0.0000
Au1 0.0000 0.0000 0.0000
S1 0.0000 0.0000 0.5000
S2 0.5000 0.0000 0.0000
C1 0.5000 0.5000 0.5000
```